Entry 1:
Entry from Alexandria: crystalline Np2Si4Ni3Ir at its relaxed geometry (PBE).

Calculated values
Total magnetic moment in μB/f.u.: 7.526
Volume in Å³/f.u.: 153.1
Energy relative to the elements, uncorrected in eV/atom: -0.59

Structure (CIF):
```
data_Np2Si4Ni3Ir
_cell_length_a 3.976
_cell_length_b 3.976
_cell_length_c 9.688
_cell_angle_alpha 90.00
_cell_angle_beta 90.00
_cell_angle_gamma 90.00
_space_group_name_H-M_alt 'P -4 m 2'
_space_group_IT_number 115
_space_group_name_Hall 'P -4 -2'
loop_
_atom_site_label
_atom_site_type_symbol
_atom_site_fract_x
_atom_site_fract_y
_atom_site_fract_z
Np1 Np 0.000 0.500 0.243
Si1 Si 0.000 0.000 0.000
Si2 Si 0.000 0.500 0.641
Si3 Si 0.500 0.500 0.000
Ni1 Ni 0.000 0.500 0.878
Ni2 Ni 0.500 0.500 0.500
Ir1 Ir 0.000 0.000 0.500
```

---

Entry 2:
Entry from Alexandria: crystalline Ca2HgIF at its relaxed geometry (PBE).

Calculated values
Total magnetic moment in μB/f.u.: 0.747
Volume in Å³/f.u.: 243.6
Energy relative to the elements, uncorrected in eV/atom: -0.39

Structure (CIF):
```
data_Ca2HgIF
_cell_length_a 5.968
_cell_length_b 5.968
_cell_length_c 6.840
_cell_angle_alpha 90.00
_cell_angle_beta 90.00
_cell_angle_gamma 90.00
_space_group_name_H-M_alt 'P 4/m m m'
_space_group_IT_number 123
_space_group_name_Hall '-P 4 2'
loop_
_atom_site_label
_atom_site_type_symbol
_atom_site_fract_x
_atom_site_fract_y
_atom_site_fract_z
Ca1 Ca 0.000 0.500 0.000
Hg1 Hg 0.000 0.000 0.500
I1 I 0.000 0.000 0.000
F1 F 0.500 0.500 0.500
```

---

Entry 3:
Entry from Alexandria: crystalline Ca2TbCeSe4 at its relaxed geometry (PBE).

Calculated values
Total magnetic moment in μB/f.u.: 1.451
Volume in Å³/f.u.: 206.8
Energy relative to the elements, uncorrected in eV/atom: -1.87

Structure (CIF):
```
data_Ca2TbCeSe4
_cell_length_a 7.192
_cell_length_b 4.150
_cell_length_c 7.330
_cell_angle_alpha 90.00
_cell_angle_beta 109.05
_cell_angle_gamma 90.00
_space_group_name_H-M_alt 'P 1 2/m 1'
_space_group_IT_number 10
_space_group_name_Hall '-P 2y'
loop_
_atom_site_label
_atom_site_type_symbol
_atom_site_fract_x
_atom_site_fract_y
_atom_site_fract_z
Ca1 Ca 0.000 0.000 0.000
Ca2 Ca 0.500 0.500 0.000
Tb1 Tb 0.000 0.500 0.500
Ce1 Ce 0.500 0.000 0.500
Se1 Se 0.243 0.500 0.246
Se2 Se 0.245 0.000 0.749
```

---

Entry 4:
Entry from Alexandria: crystalline Ce2Zn2Pt at its relaxed geometry (PBE).

Calculated values
Total magnetic moment in μB/f.u.: 1.131
Volume in Å³/f.u.: 106.0
Calculated formation energy in eV/atom: -0.5689

Structure (CIF):
```
data_Ce2Zn2Pt
_cell_length_a 10.835
_cell_length_b 4.457
_cell_length_c 9.314
_cell_angle_alpha 90.00
_cell_angle_beta 109.56
_cell_angle_gamma 90.00
_space_group_name_H-M_alt 'C 1 2/m 1'
_space_group_IT_number 12
_space_group_name_Hall '-C 2y'
loop_
_atom_site_label
_atom_site_type_symbol
_atom_site_fract_x
_atom_site_fract_y
_atom_site_fract_z
Ce1 Ce 0.104 0.000 0.385
Ce2 Ce 0.186 0.000 0.051
Zn1 Zn 0.004 0.500 0.139
Zn2 Zn 0.100 0.500 0.635
Pt1 Pt 0.241 0.000 0.708
```

---

Entry 5:
Entry from Alexandria: crystalline BaNaBi at its relaxed geometry (PBE).

Calculated values
Total magnetic moment in μB/f.u.: 0.000
Volume in Å³/f.u.: 114.1
Calculated formation energy in eV/atom: -0.7603

Structure (CIF):
```
data_BaNaBi
_cell_length_a 8.746
_cell_length_b 5.191
_cell_length_c 15.074
_cell_angle_alpha 90.00
_cell_angle_beta 90.04
_cell_angle_gamma 90.00
_space_group_name_H-M_alt 'P 1 21/m 1'
_space_group_IT_number 11
_space_group_name_Hall '-P 2yb'
loop_
_atom_site_label
_atom_site_type_symbol
_atom_site_fract_x
_atom_site_fract_y
_atom_site_fract_z
Ba1 Ba 0.029 0.250 0.124
Ba2 Ba 0.159 0.250 0.418
Ba3 Ba 0.471 0.750 0.795
Na1 Na 0.141 0.250 0.704
Na2 Na 0.360 0.750 0.041
Na3 Na 0.500 0.250 0.588
Bi1 Bi 0.238 0.750 0.252
Bi2 Bi 0.258 0.250 0.922
Bi3 Bi 0.258 0.750 0.589
```

---

Entry 6:
Entry from Alexandria: crystalline Co2CuGe4 at its relaxed geometry (PBE).

Calculated values
Total magnetic moment in μB/f.u.: 0.280
Volume in Å³/f.u.: 122.8
Calculated formation energy in eV/atom: 0.4744

Structure (CIF):
```
data_Co2CuGe4
_cell_length_a 4.624
_cell_length_b 4.624
_cell_length_c 11.485
_cell_angle_alpha 90.00
_cell_angle_beta 90.00
_cell_angle_gamma 90.00
_space_group_name_H-M_alt 'I 4/m m m'
_space_group_IT_number 139
_space_group_name_Hall '-I 4 2'
loop_
_atom_site_label
_atom_site_type_symbol
_atom_site_fract_x
_atom_site_fract_y
_atom_site_fract_z
Co1 Co 0.000 0.000 0.099
Cu1 Cu 0.000 0.000 0.500
Ge1 Ge 0.000 0.000 0.293
Ge2 Ge 0.000 0.500 0.000
```